(1)
Pr3MgHg2, relaxed, DFT PBE; E_form = -2.138 eV/f.u.
1.0
5.429 0.000 0.000
0.000 16.584 0.000
0.000 0.000 3.874
Pr Mg Hg
6 2 4
Direct
0.000 0.000 0.000
0.000 0.330 0.000
0.000 0.670 0.000
0.500 0.170 0.000
0.500 0.500 0.000
0.500 0.830 0.000
0.000 0.500 0.500
0.500 0.000 0.500
0.000 0.156 0.500
0.000 0.844 0.500
0.500 0.344 0.500
0.500 0.656 0.500


(2)
ReSbOsI2, relaxed, DFT PBE; formation energy from raw total energies = 927 kJ/mol of formula units
1.0
5.404 0.000 0.000
0.000 5.404 0.000
0.000 0.000 5.180
Re Sb Os I
1 1 1 2
Direct
0.000 0.000 0.000
0.000 0.000 0.500
0.500 0.500 0.500
0.000 0.500 0.000
0.500 0.000 0.000


(3)
SeSBr2N, relaxed, DFT PBE; formation energy from raw total energies = 649 kJ/mol of formula units
1.0
4.479 0.000 0.000
0.000 4.479 0.000
0.000 0.000 4.829
Se S Br N
1 1 2 1
Direct
0.000 0.000 0.000
0.500 0.500 0.000
0.000 0.500 0.500
0.500 0.000 0.500
0.000 0.000 0.500


(4)
Ba2Si3Ni, relaxed, DFT PBE; formation energy from raw total energies = -238 kJ/mol of formula units
1.0
4.010 0.000 0.000
0.000 5.111 0.000
0.000 0.000 7.296
Ba Si Ni
2 3 1
Direct
0.000 0.000 0.000
0.500 0.000 0.498
0.000 0.500 0.322
0.000 0.500 0.655
0.500 0.500 0.842
0.500 0.500 0.163